Model 1:
A plane-wave DFT calculation with PBE-GGA was carried out for crystalline PuGaC at its relaxed geometry.

```
PuGaC
1.0
3.706 0.000 0.000
0.004 5.798 0.000
1.848 2.879 5.033
Pu Ga C
2 2 2
Cartesian
0.929 2.353 1.411
4.629 6.324 3.622
2.779 3.187 3.946
2.778 5.490 1.087
2.777 5.160 4.206
2.780 3.518 0.827
```

Properties
spin magnetization = 8.865 μB per cell
N(E_F) = 2.1684 states/eV per atom
SG = P-1
ρ = 10.00 g cm⁻³
V = 108.1 Å³/cell

***

Model 2:
A plane-wave DFT calculation with PBE-GGA was carried out for crystalline PuGaC at its relaxed geometry.

```
PuGaC
1.0
-1.564 1.564 5.468
1.564 -1.564 5.468
1.564 1.564 -5.468
Pu Ga C
1 1 1
Cartesian
0.000 0.000 0.000
0.000 0.000 3.033
0.000 0.000 6.143
```

Properties
spin magnetization = 4.042 μB per cell
N(E_F) = 1.8005 states/eV per atom
SG = I4mm
ρ = 10.11 g cm⁻³
V = 53.5 Å³/cell

***

Which structure is the most stable? The one labeled model 1.

***

Model 1:
A plane-wave DFT calculation with PBE-GGA was carried out for crystalline RbGaC3 at its relaxed geometry.

```
RbGaC3
1.0
4.266 0.000 0.000
0.000 4.266 0.000
0.000 0.000 4.266
Rb Ga C
1 1 3
Cartesian
0.000 0.000 0.000
2.133 2.133 2.133
0.000 2.133 2.133
2.133 0.000 2.133
2.133 2.133 0.000
```

Properties
spin magnetization = 0.000 μB per cell
N(E_F) = 0.8192 states/eV per atom
SG = Pm-3m
ρ = 4.09 g cm⁻³
V = 77.6 Å³/cell

***

Model 2:
A plane-wave DFT calculation with PBE-GGA was carried out for crystalline RbGaC3 at its relaxed geometry.

```
RbGaC3
1.0
5.683 0.000 0.000
0.000 5.683 0.000
0.000 0.000 5.683
Rb Ga C
1 1 3
Cartesian
0.000 0.000 0.000
2.842 2.842 2.842
0.000 0.000 2.842
0.000 2.842 0.000
2.842 0.000 0.000
```

Properties
spin magnetization = 8.000 μB per cell
N(E_F) = 1.6338 states/eV per atom
SG = Pm-3m
ρ = 1.73 g cm⁻³
V = 183.6 Å³/cell

***

Which structure is the most stable? The one labeled model 1.

***

Model 1:
A plane-wave DFT calculation with PBE-GGA was carried out for crystalline Rb2GaC2 at its relaxed geometry.

```
Rb2GaC2
1.0
-3.080 3.080 3.598
3.080 -3.080 3.598
3.080 3.080 -3.598
Rb Ga C
2 1 2
Cartesian
3.080 0.000 1.799
0.000 3.080 1.799
0.000 0.000 0.000
0.000 0.000 2.960
0.000 0.000 4.237
```

Properties
spin magnetization = 1.000 μB per cell
N(E_F) = 1.0909 states/eV per atom
SG = I4/mmm
ρ = 3.22 g cm⁻³
V = 136.5 Å³/cell

***

Model 2:
A plane-wave DFT calculation with PBE-GGA was carried out for crystalline Rb2GaC2 at its relaxed geometry.

```
Rb2GaC2
1.0
7.570 0.000 0.000
0.000 7.570 0.000
0.000 0.000 4.630
Rb Ga C
4 2 4
Cartesian
1.563 2.222 0.000
2.222 6.007 0.000
5.347 1.563 0.000
6.007 5.347 0.000
0.000 0.000 2.315
3.785 3.785 2.315
0.450 4.235 2.315
3.335 0.450 2.315
4.235 7.119 2.315
7.119 3.335 2.315
```

Properties
spin magnetization = 0.000 μB per cell
N(E_F) = 0.2325 states/eV per atom
SG = P4/mbm
ρ = 3.31 g cm⁻³
V = 265.3 Å³/cell

***

Which structure is the most stable? The one labeled model 2.

***

Model 1:
A plane-wave DFT calculation with PBE-GGA was carried out for crystalline RbGa3C at its relaxed geometry.

```
RbGa3C
1.0
4.832 0.000 0.000
0.000 4.832 0.000
0.000 0.000 4.832
Rb Ga C
1 3 1
Cartesian
0.000 0.000 0.000
0.000 2.416 2.416
2.416 0.000 2.416
2.416 2.416 0.000
2.416 2.416 2.416
```

Properties
spin magnetization = 0.000 μB per cell
N(E_F) = 0.5625 states/eV per atom
SG = Pm-3m
ρ = 4.51 g cm⁻³
V = 112.8 Å³/cell

***

Model 2:
A plane-wave DFT calculation with PBE-GGA was carried out for crystalline RbGa3C at its relaxed geometry.

```
RbGa3C
1.0
6.296 0.000 0.000
0.000 6.296 0.000
0.000 0.000 6.296
Rb Ga C
1 3 1
Cartesian
0.000 0.000 0.000
0.000 0.000 3.148
0.000 3.148 0.000
3.148 0.000 0.000
3.148 3.148 3.148
```

Properties
spin magnetization = 1.738 μB per cell
N(E_F) = 1.1685 states/eV per atom
SG = Pm-3m
ρ = 2.04 g cm⁻³
V = 249.5 Å³/cell

***

Which structure is the most stable? The one labeled model 1.

***

Model 1:
A plane-wave DFT calculation with PBE-GGA was carried out for crystalline Ga3ReC at its relaxed geometry.

```
Ga3ReC
1.0
4.157 0.000 0.000
0.000 4.157 0.000
0.000 0.000 4.157
Ga Re C
3 1 1
Cartesian
0.000 0.000 2.079
0.000 2.079 0.000
2.079 0.000 0.000
2.079 2.079 2.079
0.000 0.000 0.000
```

Properties
spin magnetization = 0.000 μB per cell
N(E_F) = 0.6833 states/eV per atom
SG = Pm-3m
ρ = 9.42 g cm⁻³
V = 71.8 Å³/cell

***

Model 2:
A plane-wave DFT calculation with PBE-GGA was carried out for crystalline Ga3ReC at its relaxed geometry.

```
Ga3ReC
1.0
4.854 0.000 0.000
0.000 4.854 0.000
0.000 0.000 4.854
Ga Re C
3 1 1
Cartesian
0.000 0.000 2.427
0.000 2.427 0.000
2.427 0.000 0.000
0.000 0.000 0.000
2.427 2.427 2.427
```

Properties
spin magnetization = 1.798 μB per cell
N(E_F) = 1.2309 states/eV per atom
SG = Pm-3m
ρ = 5.92 g cm⁻³
V = 114.4 Å³/cell

***

Which structure is the most stable? The one labeled model 1.

***

Model 1:
A plane-wave DFT calculation with PBE-GGA was carried out for crystalline GaRe2C at its relaxed geometry.

```
GaRe2C
1.0
1.524 0.880 7.254
-1.524 0.880 7.254
0.000 -1.759 7.254
Ga Re C
1 2 1
Cartesian
0.000 0.000 0.000
0.000 0.000 2.489
0.000 0.000 19.273
0.000 0.000 10.881
```

Properties
spin magnetization = 0.000 μB per cell
N(E_F) = 0.3560 states/eV per atom
SG = R-3m
ρ = 12.93 g cm⁻³
V = 58.3 Å³/cell

***

Model 2:
A plane-wave DFT calculation with PBE-GGA was carried out for crystalline GaRe2C at its relaxed geometry.

```
GaRe2C
1.0
-2.364 2.364 6.018
2.364 -2.364 6.018
2.364 2.364 -6.018
Ga Re C
2 4 2
Cartesian
0.000 0.000 0.000
0.000 2.364 3.009
1.182 -0.593 4.513
1.771 1.182 1.504
1.182 2.957 -1.504
0.593 1.182 7.522
2.364 0.000 3.009
0.000 0.000 6.018
```

Properties
spin magnetization = 0.001 μB per cell
N(E_F) = 1.3436 states/eV per atom
SG = I-42d
ρ = 11.22 g cm⁻³
V = 134.5 Å³/cell

***

Which structure is the most stable? The one labeled model 1.

***

Model 1:
A plane-wave DFT calculation with PBE-GGA was carried out for crystalline GaRh3C at its relaxed geometry.

```
GaRh3C
1.0
4.057 0.000 0.000
0.000 4.057 0.000
0.000 0.000 4.057
Ga Rh C
1 3 1
Cartesian
0.000 0.000 0.000
0.000 2.029 2.029
2.029 0.000 2.029
2.029 2.029 0.000
2.029 2.029 2.029
```

Properties
spin magnetization = 0.000 μB per cell
N(E_F) = 0.0931 states/eV per atom
SG = Pm-3m
ρ = 9.71 g cm⁻³
V = 66.8 Å³/cell

***

Model 2:
A plane-wave DFT calculation with PBE-GGA was carried out for crystalline GaRh3C at its relaxed geometry.

```
GaRh3C
1.0
4.532 0.000 0.000
0.000 4.532 0.000
0.000 0.000 4.532
Ga Rh C
1 3 1
Cartesian
0.000 0.000 0.000
0.000 0.000 2.266
0.000 2.266 0.000
2.266 0.000 0.000
2.266 2.266 2.266
```

Properties
spin magnetization = 0.556 μB per cell
N(E_F) = 1.4215 states/eV per atom
SG = Pm-3m
ρ = 6.97 g cm⁻³
V = 93.1 Å³/cell

***

Which structure is the most stable? The one labeled model 1.

***

Model 1:
A plane-wave DFT calculation with PBE-GGA was carried out for crystalline ScGaRu2C at its relaxed geometry.

```
ScGaRu2C
1.0
1.551 -6.174 0.000
1.551 6.174 0.000
0.000 0.000 7.528
Sc Ga Ru C
2 2 4 2
Cartesian
1.551 5.875 5.646
1.551 -5.875 1.882
1.551 2.978 1.882
1.551 -2.978 5.646
1.551 1.818 4.099
1.551 1.818 7.193
1.551 -1.818 0.335
1.551 -1.818 3.429
1.551 0.000 0.000
1.551 0.000 3.764
```

Properties
spin magnetization = 0.000 μB per cell
N(E_F) = 0.5778 states/eV per atom
SG = Cmcm
ρ = 7.58 g cm⁻³
V = 144.2 Å³/cell

***

Model 2:
A plane-wave DFT calculation with PBE-GGA was carried out for crystalline ScGaRu2C at its relaxed geometry.

```
ScGaRu2C
1.0
4.073 0.000 0.000
0.000 4.073 0.000
0.000 0.000 4.297
Sc Ga Ru C
1 1 2 1
Cartesian
0.000 0.000 0.000
2.036 2.036 0.000
0.000 2.036 2.149
2.036 0.000 2.149
0.000 0.000 2.149
```

Properties
spin magnetization = 0.000 μB per cell
N(E_F) = 0.5677 states/eV per atom
SG = P4/mmm
ρ = 7.66 g cm⁻³
V = 71.3 Å³/cell

***

Which structure is the most stable? The one labeled model 1.

***

Model 1:
A plane-wave DFT calculation with PBE-GGA was carried out for crystalline GaCS2 at its relaxed geometry.

```
GaCS2
1.0
0.000 3.048 3.048
3.048 0.000 3.048
3.048 3.048 0.000
Ga C S
1 1 2
Cartesian
0.000 0.000 0.000
3.048 3.048 3.048
1.524 1.524 1.524
4.572 4.572 4.572
```

Properties
spin magnetization = 0.000 μB per cell
N(E_F) = 0.6903 states/eV per atom
SG = Fm-3m
ρ = 4.28 g cm⁻³
V = 56.6 Å³/cell

***

Model 2:
A plane-wave DFT calculation with PBE-GGA was carried out for crystalline GaCS2 at its relaxed geometry.

```
GaCS2
1.0
1.837 1.060 7.519
-1.837 1.060 7.519
0.000 -2.121 7.519
Ga C S
1 1 2
Cartesian
0.000 0.000 0.000
0.000 0.000 11.279
0.000 0.000 9.706
0.000 0.000 12.852
```

Properties
spin magnetization = 0.000 μB per cell
N(E_F) = 0.2645 states/eV per atom
SG = R-3m
ρ = 2.76 g cm⁻³
V = 87.9 Å³/cell

***

Model 3:
A plane-wave DFT calculation with PBE-GGA was carried out for crystalline GaCS2 at its relaxed geometry.

```
GaCS2
1.0
-2.399 2.399 5.933
2.399 -2.399 5.933
2.399 2.399 -5.933
Ga C S
2 2 4
Cartesian
0.000 0.000 0.000
0.000 2.399 2.966
2.399 0.000 2.966
0.000 0.000 5.933
1.199 -0.863 4.449
1.536 1.199 1.483
1.199 3.262 -1.483
0.863 1.199 7.416
```

Properties
spin magnetization = 0.000 μB per cell
N(E_F) = 0.3297 states/eV per atom
SG = I-42d
ρ = 3.55 g cm⁻³
V = 136.5 Å³/cell

***

Model 4:
A plane-wave DFT calculation with PBE-GGA was carried out for crystalline GaCS2 at its relaxed geometry.

```
GaCS2
1.0
1.489 0.860 7.947
-1.489 0.860 7.947
0.000 -1.720 7.947
Ga C S
1 1 2
Cartesian
0.000 0.000 0.000
0.000 0.000 11.920
0.000 0.000 2.741
0.000 0.000 21.098
```

Properties
spin magnetization = 0.000 μB per cell
N(E_F) = 0.4402 states/eV per atom
SG = R-3m
ρ = 3.97 g cm⁻³
V = 61.1 Å³/cell

***

Which structure is the most stable? The one labeled model 2.

***

Model 1:
A plane-wave DFT calculation with PBE-GGA was carried out for crystalline GaC3S at its relaxed geometry.

```
GaC3S
1.0
3.659 0.000 0.000
0.000 3.659 0.000
0.000 0.000 3.659
Ga C S
1 3 1
Cartesian
0.000 0.000 0.000
0.000 1.830 1.830
1.830 0.000 1.830
1.830 1.830 0.000
1.830 1.830 1.830
```

Properties
spin magnetization = 0.000 μB per cell
N(E_F) = 0.5388 states/eV per atom
SG = Pm-3m
ρ = 4.67 g cm⁻³
V = 49.0 Å³/cell

***

Model 2:
A plane-wave DFT calculation with PBE-GGA was carried out for crystalline GaC3S at its relaxed geometry.

```
GaC3S
1.0
4.037 0.000 0.000
0.000 4.037 0.000
0.000 0.000 4.037
Ga C S
1 3 1
Cartesian
0.000 0.000 0.000
0.000 0.000 2.018
0.000 2.018 0.000
2.018 0.000 0.000
2.018 2.018 2.018
```

Properties
spin magnetization = 0.008 μB per cell
N(E_F) = 0.8167 states/eV per atom
SG = Pm-3m
ρ = 3.48 g cm⁻³
V = 65.8 Å³/cell

***

Which structure is the most stable? The one labeled model 1.

***

Model 1:
A plane-wave DFT calculation with PBE-GGA was carried out for crystalline GaCS3 at its relaxed geometry.

```
GaCS3
1.0
4.177 0.000 0.000
0.000 4.177 0.000
0.000 0.000 4.177
Ga C S
1 1 3
Cartesian
0.000 0.000 0.000
2.089 2.089 2.089
0.000 2.089 2.089
2.089 0.000 2.089
2.089 2.089 0.000
```

Properties
spin magnetization = 0.000 μB per cell
N(E_F) = 0.6826 states/eV per atom
SG = Pm-3m
ρ = 4.05 g cm⁻³
V = 72.9 Å³/cell

***

Model 2:
A plane-wave DFT calculation with PBE-GGA was carried out for crystalline GaCS3 at its relaxed geometry.

```
GaCS3
1.0
4.673 0.000 0.000
0.000 4.673 0.000
0.000 0.000 4.673
Ga C S
1 1 3
Cartesian
0.000 0.000 0.000
2.337 2.337 2.337
0.000 0.000 2.337
0.000 2.337 0.000
2.337 0.000 0.000
```

Properties
spin magnetization = 0.156 μB per cell
N(E_F) = 0.9157 states/eV per atom
SG = Pm-3m
ρ = 2.89 g cm⁻³
V = 102.1 Å³/cell

***

Which structure is the most stable? The one labeled model 1.

***

Model 1:
A plane-wave DFT calculation with PBE-GGA was carried out for crystalline GaC2S2 at its relaxed geometry.

```
GaC2S2
1.0
-2.200 2.200 3.261
2.200 -2.200 3.261
2.200 2.200 -3.261
Ga C S
1 2 2
Cartesian
0.000 0.000 0.000
0.000 0.000 2.573
0.000 0.000 3.949
2.200 0.000 1.630
0.000 2.200 1.630
```

Properties
spin magnetization = 0.000 μB per cell
N(E_F) = 0.3895 states/eV per atom
SG = I4/mmm
ρ = 4.15 g cm⁻³
V = 63.1 Å³/cell

***

Model 2:
A plane-wave DFT calculation with PBE-GGA was carried out for crystalline GaC2S2 at its relaxed geometry.

```
GaC2S2
1.0
7.742 0.000 0.000
0.000 7.742 0.000
0.000 0.000 2.736
Ga C S
2 4 4
Cartesian
0.000 0.000 0.000
3.871 3.871 0.000
1.866 2.005 0.000
2.005 5.876 0.000
5.737 1.866 0.000
5.876 5.737 0.000
1.132 2.739 1.368
2.739 6.610 1.368
5.003 1.132 1.368
6.610 5.003 1.368
```

Properties
spin magnetization = 0.000 μB per cell
N(E_F) = 0.2333 states/eV per atom
SG = P4/mbm
ρ = 3.20 g cm⁻³
V = 164.0 Å³/cell

***

Which structure is the most stable? The one labeled model 2.

***

Model 1:
A plane-wave DFT calculation with PBE-GGA was carried out for crystalline GaSb2C at its relaxed geometry.

```
GaSb2C
1.0
-2.847 2.847 5.805
2.847 -2.847 5.805
2.847 2.847 -5.805
Ga Sb C
2 4 2
Cartesian
0.000 0.000 0.000
0.000 2.847 2.902
1.424 -1.085 4.354
1.762 1.424 1.451
1.424 3.932 -1.451
1.085 1.424 7.256
2.847 0.000 2.902
0.000 0.000 5.805
```

Properties
spin magnetization = 0.000 μB per cell
N(E_F) = 0.6259 states/eV per atom
SG = I-42d
ρ = 5.74 g cm⁻³
V = 188.2 Å³/cell

***

Model 2:
A plane-wave DFT calculation with PBE-GGA was carried out for crystalline GaSb2C at its relaxed geometry.

```
GaSb2C
1.0
0.000 3.380 3.380
3.380 0.000 3.380
3.380 3.380 0.000
Ga Sb C
1 2 1
Cartesian
0.000 0.000 0.000
1.690 1.690 1.690
5.070 5.070 5.070
3.380 3.380 3.380
```

Properties
spin magnetization = 0.000 μB per cell
N(E_F) = 0.4518 states/eV per atom
SG = Fm-3m
ρ = 6.99 g cm⁻³
V = 77.2 Å³/cell

***

Which structure is the most stable? The one labeled model 1.